Computed, not measured: a relaxed structure of NpFeNiO6 at the PBE+U level of DFT.

Unit cell a=5.1242 b=5.1242 c=8.8084 alpha=90.00 beta=90.00 gamma=120.00
Space group P-31c (No. 163)
Unique sites:
Np 0.3333 0.6667 0.2500 [2 per cell]
Fe 0.0000 0.0000 0.0000 [2 per cell]
Ni 0.3333 0.6667 0.7500 [2 per cell]
O 0.0055 0.3282 0.1251 [12 per cell]

Values from the calculation:
Calculated total energy, eV per atom: -7.27
Theoretical density, g/cm³: 7.4